TaMn3Pd6: relaxed, PBE-GGA.

```
TaMn3Pd6
1.0
8.4947 0.0000 0.0000
0.0000 4.0406 0.0000
-0.6738 0.0000 9.0044
Ta Mn Pd
2 6 12
direct
0.0593 0.2500 0.3817 Ta
0.9407 0.7500 0.6183 Ta
0.2495 0.2500 0.0164 Mn
0.3486 0.7500 0.8088 Mn
0.4482 0.2500 0.6027 Mn
0.5518 0.7500 0.3973 Mn
0.6514 0.2500 0.1912 Mn
0.7505 0.7500 0.9836 Mn
0.0589 0.7500 0.9027 Pd
0.1512 0.2500 0.7003 Pd
0.1538 0.7500 0.2077 Pd
0.2468 0.7500 0.5089 Pd
0.3648 0.2500 0.3112 Pd
0.4590 0.7500 0.1020 Pd
0.5410 0.2500 0.8980 Pd
0.6352 0.7500 0.6888 Pd
0.7532 0.2500 0.4911 Pd
0.8462 0.2500 0.7923 Pd
0.8488 0.7500 0.2997 Pd
0.9411 0.2500 0.0973 Pd
```

Computed properties:
size of the total moment = 26.65 μB per cell
E = -146.12 eV per cell
volume = 15.453 Å³/atom
SG = No. 11
formation energy from the elements = -0.254 eV/atom

HfZrIn: relaxed, PBE-GGA.

```
HfZrIn
1.0
-5.3152 5.3152 2.5406
5.3152 -5.3152 2.5406
5.3152 5.3152 -2.5406
Hf Zr In
4 4 4
direct
0.0000 0.3761 0.3761 Hf
0.0000 0.6239 0.6239 Hf
0.3761 0.0000 0.3761 Hf
0.6239 0.0000 0.6239 Hf
0.1773 0.1773 0.3545 Zr
0.1773 0.8227 0.0000 Zr
0.8227 0.1773 0.0000 Zr
0.8227 0.8227 0.6455 Zr
0.2800 0.5000 0.7800 In
0.5000 0.2800 0.7800 In
0.5000 0.7200 0.2200 In
0.7200 0.5000 0.2200 In
```

Computed properties:
size of the total moment = 0.00 μB per cell
E = -83.75 eV per cell
volume = 23.925 Å³/atom
polymorph energy (0 for the lowest one) = 0.268 eV per atom
SG = No. 139
formation energy from the elements = 0.101 eV/atom

V5CrSi4: relaxed, PBE-GGA.

```
V5CrSi4
1.0
6.6916 -1.6495 0.0000
6.6916 1.6495 0.0000
-1.4108 0.0000 6.1388
V Cr Si
5 1 4
direct
0.0000 0.0000 0.0000 V
0.2961 0.2961 0.8704 V
0.3556 0.3556 0.2834 V
0.6444 0.6444 0.7166 V
0.7039 0.7039 0.1296 V
0.0000 0.0000 0.5000 Cr
0.1806 0.1806 0.4282 Si
0.4516 0.4516 0.7189 Si
0.5484 0.5484 0.2811 Si
0.8194 0.8194 0.5718 Si
```

Computed properties:
size of the total moment = 0.00 μB per cell
E = -77.51 eV per cell
volume = 13.552 Å³/atom
SG = No. 12

NpGa2Ge: relaxed, PBE-GGA.

```
NpGa2Ge
1.0
4.1679 0.0000 0.0000
0.0000 4.1679 0.0000
0.0000 0.0000 4.4319
Np Ga Ge
1 2 1
direct
0.0000 0.0000 0.0000 Np
0.0000 0.5000 0.5000 Ga
0.5000 0.0000 0.5000 Ga
0.5000 0.5000 0.0000 Ge
```

Computed properties:
size of the total moment = 3.82 μB per cell
E = -24.60 eV per cell
volume = 19.247 Å³/atom
polymorph energy (0 for the lowest one) = 0.000 eV per atom
SG = No. 123
formation energy from the elements = -0.247 eV/atom

NbSeN2: relaxed, PBE-GGA.

```
NbSeN2
1.0
1.5707 0.9068 6.4716
-1.5707 0.9068 6.4716
0.0000 -1.8137 6.4716
Nb Se N
1 1 2
direct
0.0000 0.0000 0.0000 Nb
0.5000 0.5000 0.5000 Se
0.3910 0.3910 0.3910 N
0.6090 0.6090 0.6090 N
```

Computed properties:
size of the total moment = 0.00 μB per cell
E = -30.64 eV per cell
volume = 13.827 Å³/atom
SG = No. 166

TcRu2Pt: relaxed, PBE-GGA.

```
TcRu2Pt
1.0
2.7231 0.0000 0.0000
0.0000 3.8753 0.0000
0.0000 0.0000 5.4830
Tc Ru Pt
1 2 1
direct
0.0000 0.0000 0.0000 Tc
0.5000 0.5000 0.2400 Ru
0.5000 0.5000 0.7600 Ru
0.0000 0.0000 0.5000 Pt
```

Computed properties:
size of the total moment = 0.00 μB per cell
E = -35.02 eV per cell
volume = 14.465 Å³/atom
polymorph energy (0 for the lowest one) = 0.060 eV per atom
SG = No. 47
formation energy from the elements = -0.016 eV/atom

TlCd2Se2: relaxed, PBE-GGA.

```
TlCd2Se2
1.0
8.1078 0.0000 0.0000
0.0000 8.1078 0.0000
0.0000 0.0000 3.7710
Tl Cd Se
2 4 4
direct
0.0000 0.0000 0.0000 Tl
0.5000 0.5000 0.0000 Tl
0.1299 0.3701 0.0000 Cd
0.3701 0.8701 0.0000 Cd
0.6299 0.1299 0.0000 Cd
0.8701 0.6299 0.0000 Cd
0.1737 0.6737 0.5000 Se
0.3263 0.1737 0.5000 Se
0.6737 0.8263 0.5000 Se
0.8263 0.3263 0.5000 Se
```

Computed properties:
size of the total moment = 0.00 μB per cell
E = -24.53 eV per cell
volume = 24.789 Å³/atom
polymorph energy (0 for the lowest one) = 0.054 eV per atom
SG = No. 127

Pm2Pr2Sn3: relaxed, PBE-GGA.

```
Pm2Pr2Sn3
1.0
4.7177 -2.7084 0.0000
4.7177 2.7084 0.0000
-3.1690 0.0000 8.9069
Pm Pr Sn
2 2 3
direct
0.1198 0.1198 0.3633 Pm
0.8802 0.8802 0.6367 Pm
0.3734 0.3734 0.1224 Pr
0.6266 0.6266 0.8776 Pr
0.0000 0.0000 0.0000 Sn
0.2408 0.2408 0.7196 Sn
0.7592 0.7592 0.2804 Sn
```

Computed properties:
size of the total moment = 0.00 μB per cell
E = -35.10 eV per cell
volume = 32.517 Å³/atom
SG = No. 12
formation energy from the elements = -0.575 eV/atom

PuThTe: relaxed, PBE-GGA.

```
PuThTe
1.0
5.3889 0.0000 0.0000
-2.6944 4.6669 0.0000
0.0000 0.0000 6.5185
Pu Th Te
2 2 2
direct
0.3333 0.6667 0.2500 Pu
0.6667 0.3333 0.7500 Pu
0.0000 0.0000 0.0000 Th
0.0000 0.0000 0.5000 Th
0.3333 0.6667 0.7500 Te
0.6667 0.3333 0.2500 Te
```

Computed properties:
size of the total moment = 11.75 μB per cell
E = -52.92 eV per cell
volume = 27.327 Å³/atom
polymorph energy (0 for the lowest one) = 0.000 eV per atom
SG = No. 194

ErPuSiHg: relaxed, PBE-GGA.

```
ErPuSiHg
1.0
0.0000 3.6157 3.6157
3.6157 0.0000 3.6157
3.6157 3.6157 0.0000
Er Pu Si Hg
1 1 1 1
direct
0.0000 0.0000 0.0000 Er
0.5000 0.5000 0.5000 Pu
0.7500 0.7500 0.7500 Si
0.2500 0.2500 0.2500 Hg
```

Computed properties:
size of the total moment = 6.40 μB per cell
E = -25.82 eV per cell
volume = 23.635 Å³/atom
SG = No. 216

TaGaFe3: relaxed, PBE-GGA.

```
TaGaFe3
1.0
2.2850 -6.7267 0.0000
2.2850 6.7267 0.0000
0.0000 0.0000 4.4236
Ta Ga Fe
2 2 6
direct
0.1977 0.8023 0.7500 Ta
0.8023 0.1977 0.2500 Ta
0.4315 0.5685 0.2500 Ga
0.5685 0.4315 0.7500 Ga
0.0000 0.0000 0.0000 Fe
0.0000 0.0000 0.5000 Fe
0.1355 0.3958 0.7500 Fe
0.3958 0.1355 0.2500 Fe
0.6042 0.8645 0.7500 Fe
0.8645 0.6042 0.2500 Fe
```

Computed properties:
size of the total moment = 3.53 μB per cell
E = -79.03 eV per cell
volume = 13.599 Å³/atom
polymorph energy (0 for the lowest one) = 0.000 eV per atom
SG = No. 63
formation energy from the elements = 0.151 eV/atom

NaInPb2: relaxed, PBE-GGA.

```
NaInPb2
1.0
4.9165 0.0000 0.0000
0.0000 4.9165 0.0000
0.0000 0.0000 4.7096
Na In Pb
1 1 2
direct
0.0000 0.0000 0.0000 Na
0.5000 0.5000 0.0000 In
0.0000 0.5000 0.5000 Pb
0.5000 0.0000 0.5000 Pb
```

Computed properties:
size of the total moment = 0.00 μB per cell
E = -11.88 eV per cell
volume = 28.459 Å³/atom
SG = No. 123
formation energy from the elements = -0.103 eV/atom

TaAs2Pd: relaxed, PBE-GGA.

```
TaAs2Pd
1.0
-2.9078 2.9078 5.5982
2.9078 -2.9078 5.5982
2.9078 2.9078 -5.5982
Ta As Pd
2 4 2
direct
0.0000 0.0000 0.0000 Ta
0.7500 0.2500 0.5000 Ta
0.1284 0.6250 0.0034 As
0.3750 0.3784 0.5034 As
0.6216 0.1250 0.9966 As
0.8750 0.8716 0.4966 As
0.2500 0.7500 0.5000 Pd
0.5000 0.5000 0.0000 Pd
```

Computed properties:
size of the total moment = 0.00 μB per cell
E = -51.91 eV per cell
volume = 23.667 Å³/atom
SG = No. 122
formation energy from the elements = 0.097 eV/atom

Tl2Co3Cl8: relaxed, PBE-GGA.

```
Tl2Co3Cl8
1.0
7.6366 -3.6790 0.0000
7.6366 3.6790 0.0000
-1.7902 0.0000 6.1089
Tl Co Cl
2 3 8
direct
0.2294 0.2294 0.1704 Tl
0.7706 0.7706 0.8296 Tl
0.2484 0.7516 0.5000 Co
0.5000 0.5000 0.0000 Co
0.7516 0.2484 0.5000 Co
0.0975 0.0975 0.4542 Cl
0.1826 0.6423 0.1185 Cl
0.3577 0.8174 0.8815 Cl
0.4079 0.4079 0.6037 Cl
0.5921 0.5921 0.3963 Cl
0.6423 0.1826 0.1185 Cl
0.8174 0.3577 0.8815 Cl
0.9025 0.9025 0.5458 Cl
```

Computed properties:
size of the total moment = 9.00 μB per cell
E = -49.46 eV per cell
volume = 26.404 Å³/atom
SG = No. 12

SiNi4Hg: relaxed, PBE-GGA.

```
SiNi4Hg
1.0
0.0000 3.4038 3.4038
3.4038 0.0000 3.4038
3.4038 3.4038 0.0000
Si Ni Hg
1 4 1
direct
0.0000 0.0000 0.0000 Si
0.3744 0.3744 0.3744 Ni
0.3744 0.3744 0.8767 Ni
0.3744 0.8767 0.3744 Ni
0.8767 0.3744 0.3744 Ni
0.7500 0.7500 0.7500 Hg
```

Computed properties:
size of the total moment = 0.00 μB per cell
E = -27.62 eV per cell
volume = 13.146 Å³/atom
SG = No. 216

Pr5ThHg4: relaxed, PBE-GGA.

```
Pr5ThHg4
1.0
3.7987 0.0000 0.0000
0.0000 3.7987 0.0000
0.0000 0.0000 20.5949
Pr Th Hg
5 1 4
direct
0.0000 0.0000 0.0000 Pr
0.0000 0.0000 0.1911 Pr
0.0000 0.0000 0.3854 Pr
0.0000 0.0000 0.6146 Pr
0.0000 0.0000 0.8089 Pr
0.5000 0.5000 0.5000 Th
0.5000 0.5000 0.0948 Hg
0.5000 0.5000 0.2889 Hg
0.5000 0.5000 0.7111 Hg
0.5000 0.5000 0.9052 Hg
```

Computed properties:
size of the total moment = 1.13 μB per cell
E = -36.21 eV per cell
volume = 29.718 Å³/atom
SG = No. 123
formation energy from the elements = -0.368 eV/atom

HoErBeAg: relaxed, PBE-GGA.

```
HoErBeAg
1.0
0.0000 3.5190 3.5190
3.5190 0.0000 3.5190
3.5190 3.5190 0.0000
Ho Er Be Ag
1 1 1 1
direct
0.0000 0.0000 0.0000 Ho
0.5000 0.5000 0.5000 Er
0.7500 0.7500 0.7500 Be
0.2500 0.2500 0.2500 Ag
```

Computed properties:
size of the total moment = 0.00 μB per cell
E = -16.02 eV per cell
volume = 21.788 Å³/atom
SG = No. 216
formation energy from the elements = -0.075 eV/atom

NdCd2Pt: relaxed, PBE-GGA.

```
NdCd2Pt
1.0
1.5975 0.9223 10.7280
-1.5975 0.9223 10.7280
0.0000 -1.8447 10.7280
Nd Cd Pt
1 2 1
direct
0.0000 0.0000 0.0000 Nd
0.0995 0.0995 0.0995 Cd
0.9005 0.9005 0.9005 Cd
0.5000 0.5000 0.5000 Pt
```

Computed properties:
size of the total moment = 0.00 μB per cell
E = -12.24 eV per cell
volume = 23.711 Å³/atom
SG = No. 166
formation energy from the elements = 0.099 eV/atom

InSiW: relaxed, PBE-GGA.

```
InSiW
1.0
0.0000 2.2869 6.8788
1.7442 0.0000 6.8788
1.7442 2.2869 0.0000
In Si W
1 1 1
direct
0.0000 0.0000 0.0000 In
0.3090 0.3090 0.6910 Si
0.6757 0.6757 0.3243 W
```

Computed properties:
size of the total moment = 0.00 μB per cell
E = -19.52 eV per cell
volume = 18.292 Å³/atom
SG = No. 42

RbNa2CuSi: relaxed, PBE-GGA.

```
RbNa2CuSi
1.0
5.6580 0.0000 0.0000
0.0000 5.6580 0.0000
0.0000 0.0000 4.4960
Rb Na Cu Si
1 2 1 1
direct
0.0000 0.0000 0.0000 Rb
0.0000 0.5000 0.5000 Na
0.5000 0.0000 0.5000 Na
0.5000 0.5000 0.5000 Cu
0.5000 0.5000 0.0000 Si
```

Computed properties:
size of the total moment = 0.00 μB per cell
E = -12.46 eV per cell
volume = 28.786 Å³/atom
polymorph energy (0 for the lowest one) = 0.009 eV per atom
SG = No. 123